# 1
This record from Alexandria via LeMat-Bulk describes an optimized crystal structure of LiCoRh. The functional is PBE-GGA.

Unit cell a=4.435 b=4.435 c=4.435 alpha=145.34 beta=130.07 gamma=62.21
Positions (direct):
Li: 0.000 0.000 0.000
Co: 0.328 0.328 0.000
Rh: 0.672 0.672 0.000

## Properties
D(E_F): 3.16 states/eV/cell
final energy: -16.23 eV for the cell shown

=====

# 2
This record from Alexandria via LeMat-Bulk describes an optimized crystal structure of LiCoRh. The functional is PBE-GGA.

Unit cell a=4.705 b=4.705 c=4.705 alpha=143.27 beta=143.27 gamma=52.93
Positions (direct):
Li: 0.000 0.000 0.000
Co: 0.336 0.336 0.000
Rh: 0.673 0.673 0.000

## Properties
D(E_F): 1.85 states/eV/cell
final energy: -16.21 eV for the cell shown

=====

# 3
This record from Alexandria via LeMat-Bulk describes an optimized crystal structure of LiCoRh2. The functional is PBE-GGA.

Unit cell a=4.459 b=4.459 c=4.693 alpha=98.63 beta=98.63 gamma=34.73
Positions (direct):
Li: 0.000 0.000 0.000
Co: 0.500 0.500 0.500
Rh: 0.243 0.243 0.748
Rh: 0.757 0.757 0.252

## Properties
D(E_F): 4.31 states/eV/cell
final energy: -23.75 eV for the cell shown

=====

# 4
This record from Alexandria via LeMat-Bulk describes an optimized crystal structure of LiCoRh2. The functional is PBE-GGA.

Unit cell a=2.750 b=2.750 c=6.818 alpha=90.00 beta=90.00 gamma=90.00
Positions (direct):
Li: 0.000 0.000 0.000
Co: 0.500 0.500 0.764
Rh: 0.000 0.000 0.524
Rh: 0.500 0.500 0.248

## Properties
D(E_F): 4.87 states/eV/cell
final energy: -23.28 eV for the cell shown

=====

# 5
This record from Alexandria via LeMat-Bulk describes an optimized crystal structure of LiCo2Rh. The functional is PBE-GGA.

Unit cell a=4.440 b=4.440 c=4.484 alpha=99.82 beta=99.82 gamma=33.98
Positions (direct):
Li: 0.000 0.000 0.000
Co: 0.495 0.495 0.489
Co: 0.759 0.759 0.258
Rh: 0.241 0.241 0.749

## Properties
D(E_F): 4.82 states/eV/cell
final energy: -23.17 eV for the cell shown

=====

# 6
This record from Alexandria via LeMat-Bulk describes an optimized crystal structure of LiCoRh. The functional is PBE-GGA.

Unit cell a=12.931 b=2.642 c=2.642 alpha=60.02 beta=90.00 gamma=90.00
Positions (direct):
Li: 0.167 0.000 0.000
Li: 0.833 0.000 0.000
Co: 0.339 0.336 0.336
Co: 0.661 0.336 0.336
Rh: 0.000 0.334 0.334
Rh: 0.500 0.002 0.002

## Properties
D(E_F): 8.10 states/eV/cell
final energy: -32.44 eV for the cell shown

=====

# 7
This record from Alexandria via LeMat-Bulk describes an optimized crystal structure of LiCoRh2. The functional is PBE-GGA.

Unit cell a=8.684 b=8.684 c=8.684 alpha=17.86 beta=17.86 gamma=17.86
Positions (direct):
Li: 0.000 0.000 0.000
Co: 0.500 0.500 0.500
Rh: 0.247 0.247 0.247
Rh: 0.753 0.753 0.753

## Properties
D(E_F): 4.64 states/eV/cell
final energy: -23.78 eV for the cell shown

=====

# 8
This record from Alexandria via LeMat-Bulk describes an optimized crystal structure of LiCo2Rh. The functional is PBE-GGA.

Unit cell a=2.895 b=2.895 c=5.689 alpha=90.00 beta=90.00 gamma=90.00
Positions (direct):
Li: 0.000 0.000 0.000
Co: 0.000 0.000 0.531
Co: 0.500 0.500 0.752
Rh: 0.500 0.500 0.254

## Properties
D(E_F): 3.33 states/eV/cell
final energy: -23.10 eV for the cell shown

=====

# 9
This record from Alexandria via LeMat-Bulk describes an optimized crystal structure of LiCoRuRh. The functional is PBE-GGA.

Unit cell a=4.187 b=4.187 c=4.187 alpha=60.00 beta=60.00 gamma=60.00
Positions (direct):
Li: 0.000 0.000 0.000
Co: 0.750 0.750 0.750
Ru: 0.500 0.500 0.500
Rh: 0.250 0.250 0.250

## Properties
D(E_F): 4.13 states/eV/cell
final energy: -24.98 eV for the cell shown

=====

# 10
This record from Alexandria via LeMat-Bulk describes an optimized crystal structure of LiScCoRh2. The functional is PBE-GGA.

Unit cell a=4.685 b=4.685 c=4.515 alpha=90.00 beta=90.00 gamma=90.00
Positions (direct):
Li: 0.000 0.000 0.000
Sc: 0.500 0.500 0.500
Co: 0.500 0.500 0.000
Rh: 0.000 0.500 0.500
Rh: 0.500 0.000 0.500

## Properties
D(E_F): 7.82 states/eV/cell
final energy: -25.97 eV for the cell shown

=====

# 11
This record from Alexandria via LeMat-Bulk describes an optimized crystal structure of LiScCoRh. The functional is PBE-GGA.

Unit cell a=4.309 b=4.309 c=4.309 alpha=60.00 beta=60.00 gamma=60.00
Positions (direct):
Li: 0.000 0.000 0.000
Sc: 0.250 0.250 0.250
Co: 0.500 0.500 0.500
Rh: 0.750 0.750 0.750

## Properties
D(E_F): 3.05 states/eV/cell
final energy: -23.62 eV for the cell shown

=====

# 12
This record from Alexandria via LeMat-Bulk describes an optimized crystal structure of LiTaCoRh. The functional is PBE-GGA.

Unit cell a=4.245 b=4.245 c=4.245 alpha=60.00 beta=60.00 gamma=60.00
Positions (direct):
Li: 0.000 0.000 0.000
Ta: 0.500 0.500 0.500
Co: 0.250 0.250 0.250
Rh: 0.750 0.750 0.750

## Properties
D(E_F): 1.57 states/eV/cell
final energy: -29.39 eV for the cell shown

=====

# 13
This record from Alexandria via LeMat-Bulk describes an optimized crystal structure of LiThCoRh. The functional is PBE-GGA.

Unit cell a=4.605 b=4.605 c=4.605 alpha=60.00 beta=60.00 gamma=60.00
Positions (direct):
Li: 0.000 0.000 0.000
Th: 0.500 0.500 0.500
Co: 0.250 0.250 0.250
Rh: 0.750 0.750 0.750

## Properties
D(E_F): 2.72 states/eV/cell
final energy: -24.85 eV for the cell shown

=====

# 14
This record from Alexandria via LeMat-Bulk describes an optimized crystal structure of LiYCo2Rh. The functional is PBE-GGA.

Unit cell a=4.708 b=4.708 c=5.067 alpha=90.00 beta=90.00 gamma=90.00
Positions (direct):
Li: 0.000 0.000 0.000
Y: 0.500 0.500 0.000
Co: 0.000 0.500 0.500
Co: 0.500 0.000 0.500
Rh: 0.500 0.500 0.500

## Properties
D(E_F): 6.31 states/eV/cell
final energy: -26.85 eV for the cell shown

=====

# 15
This record from Alexandria via LeMat-Bulk describes an optimized crystal structure of LiZnCoRh. The functional is PBE-GGA.

Unit cell a=4.178 b=4.178 c=4.178 alpha=60.00 beta=60.00 gamma=60.00
Positions (direct):
Li: 0.000 0.000 0.000
Zn: 0.250 0.250 0.250
Co: 0.750 0.750 0.750
Rh: 0.500 0.500 0.500

## Properties
D(E_F): 2.77 states/eV/cell
final energy: -18.21 eV for the cell shown

=====

# 16
This record from Alexandria via LeMat-Bulk describes an optimized crystal structure of LiZrCoRh. The functional is PBE-GGA.

Unit cell a=4.359 b=4.359 c=4.359 alpha=60.00 beta=60.00 gamma=60.00
Positions (direct):
Li: 0.000 0.000 0.000
Zr: 0.500 0.500 0.500
Co: 0.750 0.750 0.750
Rh: 0.250 0.250 0.250

## Properties
D(E_F): 1.93 states/eV/cell
final energy: -26.16 eV for the cell shown

=====

# 17
This record from Alexandria via LeMat-Bulk describes an optimized crystal structure of LiCoRu. The functional is PBE-GGA.

Unit cell a=3.851 b=3.851 c=3.851 alpha=60.00 beta=60.00 gamma=60.00
Positions (direct):
Li: 0.000 0.000 0.000
Co: 0.250 0.250 0.250
Ru: 0.500 0.500 0.500

## Properties
D(E_F): 3.64 states/eV/cell
final energy: -16.85 eV for the cell shown

=====

# 18
This record from Alexandria via LeMat-Bulk describes an optimized crystal structure of LiCoRu. The functional is PBE-GGA.

Unit cell a=4.143 b=4.143 c=4.875 alpha=90.00 beta=90.00 gamma=120.00
Positions (direct):
Li: 0.333 0.667 0.250
Li: 0.667 0.333 0.750
Co: 0.000 0.000 0.000
Co: 0.000 0.000 0.500
Ru: 0.333 0.667 0.750
Ru: 0.667 0.333 0.250

## Properties
D(E_F): 5.40 states/eV/cell
final energy: -34.14 eV for the cell shown

=====

# 19
This record from Alexandria via LeMat-Bulk describes an optimized crystal structure of LiCo2Ru. The functional is PBE-GGA.

Unit cell a=4.990 b=4.990 c=4.990 alpha=149.42 beta=128.76 gamma=60.86
Positions (direct):
Li: 0.000 0.000 0.000
Co: 0.255 0.755 0.500
Co: 0.483 0.483 0.000
Ru: 0.729 0.229 0.500

## Properties
D(E_F): 3.70 states/eV/cell
final energy: -24.60 eV for the cell shown

=====

# 20
This record from Alexandria via LeMat-Bulk describes an optimized crystal structure of LiCo2Ru. The functional is PBE-GGA.

Unit cell a=2.535 b=4.187 c=4.496 alpha=90.00 beta=90.00 gamma=90.00
Positions (direct):
Li: 0.000 0.000 0.000
Co: 0.500 0.000 0.489
Co: 0.500 0.500 0.160
Ru: 0.000 0.500 0.658

## Properties
D(E_F): 4.44 states/eV/cell
final energy: -24.68 eV for the cell shown